Computed, not measured: a geometry-optimized TaIr2Se structure at the PBE level of DFT.

Cell: 3.010 3.824 5.632 Å, 90.00 90.00 90.00°
Sites, in units of the cell vectors:
1 Ta 0.500 0.500 0.750
2 Ir 0.000 0.000 0.511
3 Se 0.500 0.500 0.250
4 Ir 0.000 0.000 0.989

Computed, not measured: a geometry-optimized Zr2GaCu structure at the PBE level of DFT.

Cell: 7.455 7.455 5.969 Å, 51.36 51.36 90.00°
Sites, in units of the cell vectors:
1 Ga 0.000 0.000 0.000
2 Zr 0.140 0.625 0.250
3 Zr 0.875 0.860 0.750
4 Cu 0.500 0.500 0.000
5 Zr 0.610 0.125 0.250
6 Cu 0.250 0.750 0.500
7 Zr 0.375 0.390 0.750
8 Ga 0.750 0.250 0.500

Number 1: uncorrected energy -0.615 Ry/atom. Number 2: uncorrected energy -0.443 Ry/atom.